<i>
A relaxed structure of TeAs3F. Source: Alexandria via LeMat-Bulk, functional PBE-GGA.

CIF file:
```
data_TeAs3F
_chemical_formula_sum 'Te1 As3 F1'
_symmetry_space_group_name_H-M 'P 1'
_symmetry_Int_Tables_number 1
_cell_length_a 4.686
_cell_length_b 4.686
_cell_length_c 4.686
_cell_angle_alpha 90.00
_cell_angle_beta 90.00
_cell_angle_gamma 90.00
loop_
_symmetry_equiv_pos_as_xyz
'x,y,z'
loop_
_atom_site_label
_atom_site_type_symbol
_atom_site_fract_x
_atom_site_fract_y
_atom_site_fract_z
Te1 Te 0.500 0.500 0.500
As1 As 0.000 0.000 0.500
As2 As 0.500 0.000 0.000
As3 As 0.000 0.500 0.000
F1 F 0.000 0.000 0.000
```

Properties
Magnetization   0.00 μB/f.u.
Calculated density   5.99 g/cm³

<ii>
A relaxed structure of TeAs3F. Source: Alexandria via LeMat-Bulk, functional PBE-GGA.

CIF file:
```
data_TeAs3F
_chemical_formula_sum 'Te1 As3 F1'
_symmetry_space_group_name_H-M 'P 1'
_symmetry_Int_Tables_number 1
_cell_length_a 5.337
_cell_length_b 5.337
_cell_length_c 5.337
_cell_angle_alpha 90.00
_cell_angle_beta 90.00
_cell_angle_gamma 90.00
loop_
_symmetry_equiv_pos_as_xyz
'x,y,z'
loop_
_atom_site_label
_atom_site_type_symbol
_atom_site_fract_x
_atom_site_fract_y
_atom_site_fract_z
As1 As 0.000 0.500 0.000
As2 As 0.500 0.000 0.000
As3 As 0.000 0.000 0.500
F1 F 0.500 0.500 0.500
Te1 Te 0.000 0.000 0.000
```

Properties
Magnetization   0.00 μB/f.u.
Calculated density   4.06 g/cm³

Quick ranking, most stable first: <i>, <ii>.

<i>
A relaxed structure of TeAs2F. Source: Alexandria via LeMat-Bulk, functional PBE-GGA.

CIF file:
```
data_TeAs2F
_chemical_formula_sum 'Te1 As2 F1'
_symmetry_space_group_name_H-M 'P 1'
_symmetry_Int_Tables_number 1
_cell_length_a 4.774
_cell_length_b 4.774
_cell_length_c 4.774
_cell_angle_alpha 60.00
_cell_angle_beta 60.00
_cell_angle_gamma 60.00
loop_
_symmetry_equiv_pos_as_xyz
'x,y,z'
loop_
_atom_site_label
_atom_site_type_symbol
_atom_site_fract_x
_atom_site_fract_y
_atom_site_fract_z
Te1 Te 0.500 0.500 0.500
As1 As 0.750 0.750 0.750
F1 F 0.000 0.000 0.000
As2 As 0.250 0.250 0.250
```

Properties
Magnetization   0.00 μB/f.u.
Calculated density   6.40 g/cm³

<ii>
A relaxed structure of TeAs2F. Source: Alexandria via LeMat-Bulk, functional PBE-GGA.

CIF file:
```
data_TeAs2F
_chemical_formula_sum 'Te2 As4 F2'
_symmetry_space_group_name_H-M 'P 1'
_symmetry_Int_Tables_number 1
_cell_length_a 9.251
_cell_length_b 9.251
_cell_length_c 6.921
_cell_angle_alpha 48.07
_cell_angle_beta 48.07
_cell_angle_gamma 90.00
loop_
_symmetry_equiv_pos_as_xyz
'x,y,z'
loop_
_atom_site_label
_atom_site_type_symbol
_atom_site_fract_x
_atom_site_fract_y
_atom_site_fract_z
As1 As 0.875 0.943 0.750
As2 As 0.057 0.625 0.250
As3 As 0.375 0.307 0.750
Te1 Te 0.000 0.000 0.000
Te2 Te 0.750 0.250 0.500
F1 F 0.500 0.500 0.000
As4 As 0.693 0.125 0.250
F2 F 0.250 0.750 0.500
```

Properties
Magnetization   0.00 μB/f.u.
Calculated density   5.09 g/cm³

Quick ranking, most stable first: <ii>, <i>.

<i>
A relaxed structure of TiAsF2. Source: Alexandria via LeMat-Bulk, functional PBE-GGA.

CIF file:
```
data_TiAsF2
_chemical_formula_sum 'Ti1 As1 F2'
_symmetry_space_group_name_H-M 'P 1'
_symmetry_Int_Tables_number 1
_cell_length_a 10.275
_cell_length_b 10.275
_cell_length_c 10.275
_cell_angle_alpha 15.54
_cell_angle_beta 15.54
_cell_angle_gamma 15.54
loop_
_symmetry_equiv_pos_as_xyz
'x,y,z'
loop_
_atom_site_label
_atom_site_type_symbol
_atom_site_fract_x
_atom_site_fract_y
_atom_site_fract_z
As1 As 0.000 0.000 0.000
Ti1 Ti 0.500 0.500 0.500
F1 F 0.878 0.878 0.878
F2 F 0.122 0.122 0.122
```

Properties
Magnetization   0.00 μB/f.u.
Calculated density   3.94 g/cm³

<ii>
A relaxed structure of TiAsF2. Source: Alexandria via LeMat-Bulk, functional PBE-GGA.

CIF file:
```
data_TiAsF2
_chemical_formula_sum 'Ti1 As1 F2'
_symmetry_space_group_name_H-M 'P 1'
_symmetry_Int_Tables_number 1
_cell_length_a 4.191
_cell_length_b 4.191
_cell_length_c 4.191
_cell_angle_alpha 60.00
_cell_angle_beta 60.00
_cell_angle_gamma 60.00
loop_
_symmetry_equiv_pos_as_xyz
'x,y,z'
loop_
_atom_site_label
_atom_site_type_symbol
_atom_site_fract_x
_atom_site_fract_y
_atom_site_fract_z
F1 F 0.250 0.250 0.250
Ti1 Ti 0.000 0.000 0.000
F2 F 0.750 0.750 0.750
As1 As 0.500 0.500 0.500
```

Properties
Magnetization   0.00 μB/f.u.
Calculated density   5.13 g/cm³

<iii>
A relaxed structure of TiAsF2. Source: Alexandria via LeMat-Bulk, functional PBE-GGA.

CIF file:
```
data_TiAsF2
_chemical_formula_sum 'Ti2 As2 F4'
_symmetry_space_group_name_H-M 'P 1'
_symmetry_Int_Tables_number 1
_cell_length_a 3.789
_cell_length_b 3.789
_cell_length_c 7.974
_cell_angle_alpha 76.26
_cell_angle_beta 76.26
_cell_angle_gamma 90.00
loop_
_symmetry_equiv_pos_as_xyz
'x,y,z'
loop_
_atom_site_label
_atom_site_type_symbol
_atom_site_fract_x
_atom_site_fract_y
_atom_site_fract_z
F1 F 0.569 0.125 0.250
Ti1 Ti 0.250 0.750 0.500
Ti2 Ti 0.500 0.500 0.000
As1 As 0.750 0.250 0.500
F2 F 0.875 0.819 0.750
F3 F 0.181 0.625 0.250
As2 As 0.000 0.000 0.000
F4 F 0.375 0.431 0.750
```

Properties
Magnetization   0.00 μB/f.u.
Calculated density   4.95 g/cm³

Quick ranking, most stable first: <i>, <iii>, <ii>.

<i>
A relaxed structure of TiAs2F. Source: Alexandria via LeMat-Bulk, functional PBE-GGA.

CIF file:
```
data_TiAs2F
_chemical_formula_sum 'Ti2 As4 F2'
_symmetry_space_group_name_H-M 'P 1'
_symmetry_Int_Tables_number 1
_cell_length_a 3.716
_cell_length_b 3.716
_cell_length_c 10.128
_cell_angle_alpha 79.43
_cell_angle_beta 79.43
_cell_angle_gamma 90.00
loop_
_symmetry_equiv_pos_as_xyz
'x,y,z'
loop_
_atom_site_label
_atom_site_type_symbol
_atom_site_fract_x
_atom_site_fract_y
_atom_site_fract_z
F1 F 0.500 0.500 0.000
As1 As 0.649 0.125 0.250
F2 F 0.250 0.750 0.500
As2 As 0.875 0.899 0.750
Ti1 Ti 0.000 0.000 0.000
Ti2 Ti 0.750 0.250 0.500
As3 As 0.101 0.625 0.250
As4 As 0.375 0.351 0.750
```

Properties
Magnetization   1.00 μB/f.u.
Calculated density   5.33 g/cm³

<ii>
A relaxed structure of TiAs2F. Source: Alexandria via LeMat-Bulk, functional PBE-GGA.

CIF file:
```
data_TiAs2F
_chemical_formula_sum 'Ti1 As2 F1'
_symmetry_space_group_name_H-M 'P 1'
_symmetry_Int_Tables_number 1
_cell_length_a 4.470
_cell_length_b 4.470
_cell_length_c 4.470
_cell_angle_alpha 60.00
_cell_angle_beta 60.00
_cell_angle_gamma 60.00
loop_
_symmetry_equiv_pos_as_xyz
'x,y,z'
loop_
_atom_site_label
_atom_site_type_symbol
_atom_site_fract_x
_atom_site_fract_y
_atom_site_fract_z
Ti1 Ti 0.500 0.500 0.500
F1 F 0.000 0.000 0.000
As1 As 0.250 0.250 0.250
As2 As 0.750 0.750 0.750
```

Properties
Magnetization   0.00 μB/f.u.
Calculated density   5.70 g/cm³

Quick ranking, most stable first: <i>, <ii>.